w:
VASP calculation (PBE) on crystalline K2BaRe at its relaxed geometry.

Cell: 6.021 6.021 6.021 Å, 60.00 60.00 60.00°
Fractional positions:
K 0.250 0.250 0.250
K 0.750 0.750 0.750
Re 0.500 0.500 0.500
Ba 0.000 0.000 0.000

Calculated values
**Calculated volume**: 38.58 Å³ per atom
**Density of states at the Fermi level**: 4.98 states/eV per cell
**ρ**: 4.322 g/cm3

x:
VASP calculation (PBE) on crystalline K2BaRe at its relaxed geometry.

Cell: 3.073 6.251 6.858 Å, 90.00 90.00 90.00°
Fractional positions:
Ba 0.500 0.500 0.750
K 0.000 0.000 0.470
K 0.000 0.000 0.030
Re 0.500 0.500 0.250

Calculated values
**Calculated volume**: 32.94 Å³ per atom
**Density of states at the Fermi level**: 4.92 states/eV per cell
**ρ**: 5.064 g/cm3

Best to worst by energy: x, w.